The following is a PBEsol calculation of a relaxed ScBeCuSe2 crystal, from the Alexandria database.

Calculated values
**Formation energy (no corrections)**: 97 kJ/mol of formula units
**Mass density**: 5177 kg/m3
**Final energy**: -4.326 eV/atom
**D(E_F)**: 0.4033 states/eV per atom

a = 4.390 Å, b = 4.390 Å, c = 4.585 Å
α = 90.00°, β = 90.00°, γ = 90.00°
Space group P4/mmm (No. 123)
Inequivalent atoms, fractional coordinates:
Sc1 0.000 0.000 0.000 (multiplicity 1)
Be1 0.000 0.000 0.500 (multiplicity 1)
Cu1 0.500 0.500 0.000 (multiplicity 1)
Se1 0.000 0.500 0.500 (multiplicity 2)